[1]
{
  "formula": "ZnAs4Au",
  "functional": "PBE",
  "state": "relaxed",
  "lattice": [[0.000, 3.926, 3.926], [3.926, 0.000, 3.926], [3.926, 3.926, 0.000]],
  "species": ["Zn", "As", "As", "As", "As", "Au"],
  "frac_coords": [[0.000, 0.000, 0.000], [0.126, 0.625, 0.625], [0.625, 0.126, 0.625], [0.625, 0.625, 0.126], [0.625, 0.625, 0.625], [0.250, 0.250, 0.250]],
  "e_tot_ev_per_cell": -20.238,
  "space_group": "F-43m (216)",
  "vol_a3_per_atom": 20.16,
  "e_form_kj_per_mol_atoms": 46.8
}

[2]
{
  "formula": "Zn2As2Au",
  "functional": "PBE",
  "state": "relaxed",
  "lattice": [[6.999, 0.000, 0.000], [0.000, 6.999, 0.000], [0.000, 0.000, 3.662]],
  "species": ["Zn", "Zn", "Zn", "Zn", "As", "As", "As", "As", "Au", "Au"],
  "frac_coords": [[0.128, 0.372, 0.000], [0.372, 0.872, 0.000], [0.628, 0.128, 0.000], [0.872, 0.628, 0.000], [0.184, 0.684, 0.500], [0.316, 0.184, 0.500], [0.684, 0.816, 0.500], [0.816, 0.316, 0.500], [0.000, 0.000, 0.000], [0.500, 0.500, 0.000]],
  "e_tot_ev_per_cell": -28.257,
  "de_polymorph_kj_per_mol_fu": 24,
  "space_group": "P4/mbm (127)",
  "vol_a3_per_atom": 17.94,
  "e_form_kj_per_mol_atoms": 19.2
}

[3]
{
  "formula": "ZnAs2Au2",
  "functional": "PBE",
  "state": "relaxed",
  "lattice": [[7.027, 0.000, 0.000], [0.000, 7.027, 0.000], [0.000, 0.000, 3.905]],
  "species": ["Zn", "Zn", "As", "As", "As", "As", "Au", "Au", "Au", "Au"],
  "frac_coords": [[0.000, 0.000, 0.000], [0.500, 0.500, 0.000], [0.167, 0.333, 0.500], [0.333, 0.833, 0.500], [0.667, 0.167, 0.500], [0.833, 0.667, 0.500], [0.144, 0.644, 0.000], [0.356, 0.144, 0.000], [0.644, 0.856, 0.000], [0.856, 0.356, 0.000]],
  "e_tot_ev_per_cell": -32.205,
  "de_polymorph_kj_per_mol_fu": 5,
  "space_group": "P4/mbm (127)",
  "vol_a3_per_atom": 19.28,
  "e_form_kj_per_mol_atoms": 19.8
}

[4]
{
  "formula": "ZnAs2Au",
  "functional": "PBE",
  "state": "relaxed",
  "lattice": [[3.776, 0.000, 0.000], [0.000, 3.776, 0.000], [0.000, 0.000, 10.738]],
  "species": ["Zn", "Zn", "As", "As", "As", "As", "Au", "Au"],
  "frac_coords": [[0.000, 0.000, 0.000], [0.500, 0.500, 0.500], [0.000, 0.500, 0.250], [0.000, 0.500, 0.750], [0.500, 0.000, 0.250], [0.500, 0.000, 0.750], [0.000, 0.000, 0.500], [0.500, 0.500, 0.000]],
  "e_tot_ev_per_cell": -25.865,
  "space_group": "I4/mmm (139)",
  "vol_a3_per_atom": 19.14,
  "e_form_kj_per_mol_atoms": 22.1
}

[5]
{
  "formula": "ZnAs2Au",
  "functional": "PBE",
  "state": "relaxed",
  "lattice": [[3.825, 0.000, 0.000], [0.000, 4.199, 0.000], [0.000, 0.000, 9.251]],
  "species": ["Zn", "Zn", "As", "As", "As", "As", "Au", "Au"],
  "frac_coords": [[0.000, 0.000, 0.000], [0.500, 0.500, 0.000], [0.000, 0.000, 0.535], [0.000, 0.500, 0.217], [0.500, 0.000, 0.217], [0.500, 0.500, 0.535], [0.000, 0.500, 0.786], [0.500, 0.000, 0.786]],
  "e_tot_ev_per_cell": -26.263,
  "space_group": "Cmm2 (35)",
  "vol_a3_per_atom": 18.57,
  "e_form_kj_per_mol_atoms": 17.3
}

[6]
{
  "formula": "ZnAs2Au",
  "functional": "PBE",
  "state": "relaxed",
  "lattice": [[4.031, 0.000, 0.000], [0.000, 4.031, 0.000], [0.000, 0.000, 4.549]],
  "species": ["Zn", "As", "As", "Au"],
  "frac_coords": [[0.000, 0.000, 0.000], [0.000, 0.500, 0.500], [0.500, 0.000, 0.500], [0.500, 0.500, 0.000]],
  "e_tot_ev_per_cell": -12.908,
  "space_group": "P4/mmm (123)",
  "vol_a3_per_atom": 18.48,
  "e_form_kj_per_mol_atoms": 22.7
}